# 1
## LaPm6Pr3Tm2 (GGA-PBE)

Data for crystalline LaPm6Pr3Tm2 at its relaxed geometry.

Properties
SG: No. 12
E_form (eV/atom): 0.021

a b c (Å): 6.3199 6.3199 12.1266
angles (deg): 94.99 94.99 119.98
Closest atoms and distances in Å follow each position.
Positions (direct):
Tm (0.6666, 0.3334, 0.0000)  6 Pm 3.62, 3 Tm 3.65, 3 La 3.65
Tm (0.3334, 0.6666, 0.0000)  6 Pm 3.62, 3 Tm 3.65, 3 La 3.65
Pr (0.5000, 0.5000, 0.5000)  6 Pr 3.64-3.65, 6 Pm 3.68-3.69
Pr (0.1673, 0.8327, 0.5000)  6 Pr 3.64-3.66, 6 Pm 3.68-3.69
Pr (0.8327, 0.1673, 0.5000)  6 Pr 3.64-3.66, 6 Pm 3.68-3.69
Pm (0.7477, 0.7477, 0.2469)  2 Tm 3.62, 1 La 3.63, 6 Pm 3.64-3.67, 3 Pr 3.68-3.69
Pm (0.2523, 0.2523, 0.7531)  2 Tm 3.62, 1 La 3.63, 6 Pm 3.64-3.67, 3 Pr 3.68-3.69
Pm (0.9175, 0.5827, 0.7535)  2 Tm 3.62, 1 La 3.63, 6 Pm 3.64-3.67, 3 Pr 3.68-3.69
Pm (0.0825, 0.4173, 0.2465)  2 Tm 3.62, 1 La 3.63, 6 Pm 3.64-3.67, 3 Pr 3.68-3.69
Pm (0.5827, 0.9175, 0.7535)  2 Tm 3.62, 1 La 3.63, 6 Pm 3.64-3.67, 3 Pr 3.68-3.69
Pm (0.4173, 0.0825, 0.2465)  2 Tm 3.62, 1 La 3.63, 6 Pm 3.64-3.67, 3 Pr 3.68-3.69
La (0.0000, 0.0000, 0.0000)  6 Pm 3.63, 6 Tm 3.65

# 2
## LaPm4Pr2Tm (GGA-PBE)

Data for crystalline LaPm4Pr2Tm at its relaxed geometry.

Properties
SG: No. 15
E_form (eV/atom): 0.361

a b c (Å): 9.6751 9.6751 11.9998
angles (deg): 128.29 128.29 88.55
Closest atoms and distances in Å follow each position.
Positions (direct):
Pm (0.2581, 0.7419, 0.5001)  1 Tm 3.27, 2 La 3.46-3.47, 3 Pr 3.47-3.49, 2 Pm 3.47
Pm (0.7581, 0.2419, 0.9998)  1 Tm 3.27, 2 La 3.46-3.47, 3 Pr 3.47-3.49, 2 Pm 3.47
Pm (0.2436, 0.2452, 0.4887)  1 La 3.37, 2 Tm 3.39-3.42, 3 Pr 3.39-3.55, 2 Pm 3.47
Pm (0.7453, 0.7436, 0.9887)  1 La 3.37, 2 Tm 3.39-3.42, 3 Pr 3.39-3.55, 2 Pm 3.47
Pm (0.7564, 0.7548, 0.5113)  1 La 3.37, 2 Tm 3.39-3.42, 3 Pr 3.39-3.55, 2 Pm 3.47
Pm (0.2419, 0.7581, 0.0002)  1 Tm 3.27, 2 La 3.46-3.47, 3 Pr 3.47-3.49, 2 Pm 3.47
Pm (0.2547, 0.2564, 0.0113)  1 La 3.37, 2 Tm 3.39-3.42, 3 Pr 3.39-3.55, 2 Pm 3.47
Pm (0.7419, 0.2581, 0.4999)  1 Tm 3.27, 2 La 3.46-3.47, 3 Pr 3.47-3.49, 2 Pm 3.47
Pr (0.0000, 0.0000, 0.5000)  2 Pr 3.47, 6 Pm 3.49-3.55
Pr (0.5000, 0.0000, 0.0000)  6 Pm 3.39-3.47, 2 La 3.47
Pr (0.5000, 0.0000, 0.5000)  6 Pm 3.39-3.47, 2 La 3.47
Pr (0.5000, 0.5000, 0.0000)  2 Pr 3.47, 6 Pm 3.49-3.55
La (0.0000, 0.5000, 0.5000)  6 Pm 3.37-3.47, 2 Pr 3.47
La (0.0000, 0.5000, 0.0000)  6 Pm 3.37-3.47, 2 Pr 3.47
Tm (0.5000, 0.5000, 0.5000)  6 Pm 3.27-3.42, 2 Tm 3.47
Tm (0.0000, 0.0000, 0.0000)  6 Pm 3.27-3.42, 2 Tm 3.47

# 3
## La3Pm6PrTm2 (GGA-PBE)

Data for crystalline La3Pm6PrTm2 at its relaxed geometry.

Properties
SG: No. 12
E_form (eV/atom): 0.021

a b c (Å): 6.3241 6.3241 12.1405
angles (deg): 95.00 95.00 120.02
Closest atoms and distances in Å follow each position.
Positions (direct):
Pr (0.0000, 0.0000, 0.0000)  6 Pm 3.61, 6 Tm 3.65
La (0.5000, 0.5000, 0.5000)  6 La 3.64-3.65, 6 Pm 3.70-3.71
La (0.8326, 0.1674, 0.5000)  6 La 3.64-3.67, 6 Pm 3.70-3.71
La (0.1674, 0.8326, 0.5000)  6 La 3.64-3.67, 6 Pm 3.70-3.71
Tm (0.3332, 0.6668, 0.0000)  6 Pm 3.60, 3 Tm 3.65, 3 Pr 3.65
Tm (0.6668, 0.3332, 0.0000)  6 Pm 3.60, 3 Tm 3.65, 3 Pr 3.65
Pm (0.5834, 0.9184, 0.7553)  2 Tm 3.60, 1 Pr 3.61, 6 Pm 3.64-3.67, 3 La 3.70-3.71
Pm (0.4166, 0.0816, 0.2447)  2 Tm 3.60, 1 Pr 3.61, 6 Pm 3.64-3.67, 3 La 3.70-3.71
Pm (0.7467, 0.7467, 0.2449)  2 Tm 3.60, 1 Pr 3.61, 6 Pm 3.64-3.67, 3 La 3.70-3.71
Pm (0.0816, 0.4166, 0.2447)  2 Tm 3.60, 1 Pr 3.61, 6 Pm 3.64-3.67, 3 La 3.70-3.71
Pm (0.9184, 0.5834, 0.7553)  2 Tm 3.60, 1 Pr 3.61, 6 Pm 3.64-3.67, 3 La 3.70-3.71
Pm (0.2533, 0.2533, 0.7551)  2 Tm 3.60, 1 Pr 3.61, 6 Pm 3.64-3.67, 3 La 3.70-3.71

# 4
## LaPmPr3Tm (GGA-PBE)

Data for crystalline LaPmPr3Tm at its relaxed geometry.

Properties
SG: No. 11
E_form (eV/atom): 0.022

a b c (Å): 5.2219 8.1815 11.0024
angles (deg): 116.32 90.00 90.00
Closest atoms and distances in Å follow each position.
Positions (direct):
Pr (0.7500, 0.3773, 0.2059)  3 Tm 3.62-3.64, 1 Pm 3.63, 6 Pr 3.66-3.73, 2 La 3.72
Pr (0.2500, 0.1315, 0.9588)  3 Tm 3.59-3.65, 1 Pm 3.63, 5 Pr 3.66-3.74, 3 La 3.68-3.69
Pr (0.7500, 0.8685, 0.0412)  3 Tm 3.59-3.65, 1 Pm 3.63, 5 Pr 3.66-3.74, 3 La 3.68-3.69
Pr (0.2500, 0.6227, 0.7941)  3 Tm 3.62-3.64, 1 Pm 3.63, 6 Pr 3.66-3.73, 2 La 3.72
Pr (0.7500, 0.3743, 0.5441)  1 Tm 3.65, 3 Pm 3.65-3.68, 5 Pr 3.68-3.73, 3 La 3.71
Pr (0.2500, 0.6257, 0.4559)  1 Tm 3.65, 3 Pm 3.65-3.68, 5 Pr 3.68-3.73, 3 La 3.71
La (0.7500, 0.8797, 0.7095)  3 Pm 3.66-3.68, 1 Tm 3.67, 8 Pr 3.68-3.72
La (0.2500, 0.1203, 0.2905)  3 Pm 3.66-3.68, 1 Tm 3.67, 8 Pr 3.68-3.72
Pm (0.2500, 0.1278, 0.6272)  5 Pr 3.63-3.68, 3 La 3.66-3.68, 2 Tm 3.69, 2 Pm 3.72
Pm (0.7500, 0.8722, 0.3728)  5 Pr 3.63-3.68, 3 La 3.66-3.68, 2 Tm 3.69, 2 Pm 3.72
Tm (0.2500, 0.6205, 0.1226)  7 Pr 3.59-3.65, 2 Tm 3.64, 1 La 3.67, 2 Pm 3.69
Tm (0.7500, 0.3795, 0.8774)  7 Pr 3.59-3.65, 2 Tm 3.64, 1 La 3.67, 2 Pm 3.69

# 5
## LaPm2PrTm4 (GGA-PBE)

Data for crystalline LaPm2PrTm4 at its relaxed geometry.

Properties
SG: No. 74
E_form (eV/atom): 0.401

a b c (Å): 9.5304 9.5304 11.8973
angles (deg): 128.62 128.62 88.11
Closest atoms and distances in Å follow each position.
Positions (direct):
Pr (0.0000, 0.5000, 0.0000)  6 Tm 3.32-3.43, 2 Pm 3.39
Pr (0.0000, 0.5000, 0.5000)  6 Tm 3.32-3.43, 2 Pm 3.39
Tm (0.2507, 0.7501, 0.0005)  3 Pm 3.31-3.42, 1 La 3.32, 2 Tm 3.39-3.40, 2 Pr 3.43
Tm (0.7493, 0.7499, 0.4981)  3 Pm 3.31-3.41, 1 Pr 3.32, 2 Tm 3.39, 2 La 3.44
Tm (0.2501, 0.7507, 0.5005)  3 Pm 3.31-3.42, 1 La 3.32, 2 Tm 3.39-3.40, 2 Pr 3.43
Tm (0.7501, 0.7507, 0.0019)  3 Pm 3.31-3.41, 1 Pr 3.32, 2 Tm 3.39, 2 La 3.44
Tm (0.7499, 0.2493, 0.4995)  3 Pm 3.31-3.42, 1 La 3.32, 2 Tm 3.39-3.40, 2 Pr 3.43
Tm (0.2499, 0.2493, 0.9981)  3 Pm 3.31-3.41, 1 Pr 3.32, 2 Tm 3.39, 2 La 3.44
Tm (0.7493, 0.2499, 0.9995)  3 Pm 3.31-3.42, 1 La 3.32, 2 Tm 3.39-3.40, 2 Pr 3.43
Tm (0.2507, 0.2501, 0.5019)  3 Pm 3.31-3.41, 1 Pr 3.32, 2 Tm 3.39, 2 La 3.44
Pm (0.5000, 0.0000, 0.0000)  6 Tm 3.31-3.42, 2 Pr 3.39
Pm (0.0000, 0.0000, 0.5000)  6 Tm 3.31-3.41, 2 Pm 3.39
Pm (0.5000, 0.5000, 0.0000)  6 Tm 3.31-3.41, 2 Pm 3.39
Pm (0.5000, 0.0000, 0.5000)  6 Tm 3.31-3.42, 2 Pr 3.39
La (0.5000, 0.5000, 0.5000)  6 Tm 3.32-3.44, 2 La 3.39
La (0.0000, 0.0000, 0.0000)  6 Tm 3.32-3.44, 2 La 3.39

# 6
## LaPm2Pr4Tm (GGA-PBE)

Data for crystalline LaPm2Pr4Tm at its relaxed geometry.

Properties
SG: No. 10
E_form (eV/atom): 0.017

a b c (Å): 3.6923 12.1903 6.3362
angles (deg): 79.81 90.00 90.00
Closest atoms and distances in Å follow each position.
Positions (direct):
Pm (0.0000, 0.0000, 0.0000)  6 Pm 3.67-3.69, 6 Pr 3.67-3.70
Pm (0.5000, 0.0000, 0.5000)  6 Pr 3.66-3.70, 6 Pm 3.67-3.69
La (0.5000, 0.5000, 0.0000)  6 Pr 3.65-3.69, 4 Tm 3.67, 2 La 3.69
Pr (0.0000, 0.2490, 0.2518)  6 Pr 3.66-3.69, 3 Pm 3.66-3.67, 1 Tm 3.68, 2 La 3.69
Pr (0.0000, 0.7510, 0.7482)  6 Pr 3.66-3.69, 3 Pm 3.66-3.67, 1 Tm 3.68, 2 La 3.69
Pr (0.5000, 0.2524, 0.7490)  2 Tm 3.65, 1 La 3.65, 6 Pr 3.66-3.69, 3 Pm 3.70
Pr (0.5000, 0.7476, 0.2510)  2 Tm 3.65, 1 La 3.65, 6 Pr 3.66-3.69, 3 Pm 3.70
Tm (0.0000, 0.5000, 0.5000)  6 Pr 3.65-3.68, 4 La 3.67, 2 Tm 3.69

# 7
## La2Pm2Pr4Tm (GGA-PBE)

Data for crystalline La2Pm2Pr4Tm at its relaxed geometry.

Properties
SG: No. 12
E_form (eV/atom): 0.014

a b c (Å): 3.7183 9.7958 9.8786
angles (deg): 114.95 90.00 100.94
Closest atoms and distances in Å follow each position.
Positions (direct):
La (0.6645, 0.3291, 0.9989)  3 Pr 3.62-3.65, 3 Pm 3.65-3.70, 2 Tm 3.67, 4 La 3.72-3.77
La (0.3355, 0.6709, 0.0011)  3 Pr 3.62-3.65, 3 Pm 3.65-3.70, 2 Tm 3.67, 4 La 3.72-3.77
Pr (0.8148, 0.6295, 0.6673)  2 La 3.65, 1 Tm 3.67, 6 Pr 3.68-3.72, 3 Pm 3.68-3.72
Pr (0.5181, 0.0363, 0.3300)  1 La 3.62, 2 Tm 3.64, 4 Pm 3.70, 5 Pr 3.70-3.72
Pr (0.1852, 0.3705, 0.3327)  2 La 3.65, 1 Tm 3.67, 6 Pr 3.68-3.72, 3 Pm 3.68-3.72
Pr (0.4819, 0.9637, 0.6700)  1 La 3.62, 2 Tm 3.64, 4 Pm 3.70, 5 Pr 3.70-3.72
Tm (0.0000, 0.0000, 0.0000)  6 Pr 3.64-3.67, 4 La 3.67, 2 Tm 3.72
Pm (0.8525, 0.7049, 0.3321)  3 La 3.65-3.70, 7 Pr 3.68-3.72, 2 Pm 3.72
Pm (0.1475, 0.2951, 0.6679)  3 La 3.65-3.70, 7 Pr 3.68-3.72, 2 Pm 3.72

# 8
## La2PmPr6Tm (GGA-PBE)

Data for crystalline La2PmPr6Tm at its relaxed geometry.

Properties
SG: No. 15
E_form (eV/atom): 0.107

a b c (Å): 10.1552 8.9919 8.9919
angles (deg): 117.73 95.13 95.13
Closest atoms and distances in Å follow each position.
Positions (direct):
Pm (0.2500, 0.9872, 0.0128)  4 La 3.44-3.48, 4 Pr 3.68-3.69
Pm (0.7500, 0.0128, 0.9872)  4 La 3.44-3.48, 4 Pr 3.68-3.69
La (0.4581, 0.8046, 0.7095)  5 Pr 3.32-3.65, 2 Pm 3.44-3.48, 1 Tm 3.63
La (0.0419, 0.2905, 0.1954)  5 Pr 3.32-3.65, 2 Pm 3.44-3.48, 1 Tm 3.63
La (0.9581, 0.7095, 0.8046)  5 Pr 3.32-3.65, 2 Pm 3.44-3.48, 1 Tm 3.63
La (0.5419, 0.1954, 0.2905)  5 Pr 3.32-3.65, 2 Pm 3.44-3.48, 1 Tm 3.63
Pr (0.3803, 0.5032, 0.2983)  3 La 3.32-3.60, 4 Pr 3.42-3.65, 2 Tm 3.49-3.71
Pr (0.6893, 0.0145, 0.5779)  4 Pr 3.42-3.78, 1 Tm 3.50, 1 La 3.50, 1 Pm 3.69
Pr (0.9452, 0.8798, 0.2578)  8 Pr 3.53-3.95, 1 La 3.65, 1 Pm 3.68, 1 Tm 3.88
Pr (0.3107, 0.9855, 0.4221)  4 Pr 3.42-3.78, 1 Tm 3.50, 1 La 3.50, 1 Pm 3.69
Pr (0.1893, 0.5779, 0.0145)  4 Pr 3.42-3.78, 1 Tm 3.50, 1 La 3.50, 1 Pm 3.69
Pr (0.1197, 0.7017, 0.4968)  3 La 3.32-3.60, 4 Pr 3.42-3.65, 2 Tm 3.49-3.71
Pr (0.4452, 0.2578, 0.8798)  8 Pr 3.53-3.95, 1 La 3.65, 1 Pm 3.68, 1 Tm 3.88
Pr (0.8107, 0.4221, 0.9855)  4 Pr 3.42-3.78, 1 Tm 3.50, 1 La 3.50, 1 Pm 3.69
Pr (0.5548, 0.7422, 0.1202)  8 Pr 3.53-3.95, 1 La 3.65, 1 Pm 3.68, 1 Tm 3.88
Pr (0.6197, 0.4968, 0.7017)  3 La 3.32-3.60, 4 Pr 3.42-3.65, 2 Tm 3.49-3.71
Pr (0.0548, 0.1202, 0.7422)  8 Pr 3.53-3.95, 1 La 3.65, 1 Pm 3.68, 1 Tm 3.88
Pr (0.8803, 0.2983, 0.5032)  3 La 3.32-3.60, 4 Pr 3.42-3.65, 2 Tm 3.49-3.71
Tm (0.7500, 0.5940, 0.4060)  8 Pr 3.49-3.88, 2 La 3.63
Tm (0.2500, 0.4060, 0.5940)  8 Pr 3.49-3.88, 2 La 3.63

# 9
## LaPmPr6Tm2 (GGA-PBE)

Data for crystalline LaPmPr6Tm2 at its relaxed geometry.

Properties
SG: No. 15
E_form (eV/atom): 0.108

a b c (Å): 9.8597 9.0000 9.0000
angles (deg): 116.90 94.20 94.20
Closest atoms and distances in Å follow each position.
Positions (direct):
Pr (0.3185, 0.9845, 0.4356)  2 Pr 3.31-3.63, 1 La 3.53, 1 Tm 3.54, 1 Pm 3.58
Pr (0.9437, 0.8935, 0.2406)  7 Pr 3.48-3.87, 2 Tm 3.52-3.85, 2 Pm 3.70-3.84
Pr (0.8800, 0.2976, 0.5120)  3 Pr 3.31-3.48, 3 Tm 3.38-3.52, 2 La 3.51-3.64
Pr (0.8185, 0.4356, 0.9845)  2 Pr 3.31-3.63, 1 La 3.53, 1 Tm 3.54, 1 Pm 3.58
Pr (0.0563, 0.1065, 0.7594)  7 Pr 3.48-3.87, 2 Tm 3.52-3.85, 2 Pm 3.70-3.84
Pr (0.1815, 0.5644, 0.0155)  2 Pr 3.31-3.63, 1 La 3.53, 1 Tm 3.54, 1 Pm 3.58
Pr (0.1200, 0.7024, 0.4880)  3 Pr 3.31-3.48, 3 Tm 3.38-3.52, 2 La 3.51-3.64
Pr (0.6200, 0.4880, 0.7024)  3 Pr 3.31-3.48, 3 Tm 3.38-3.52, 2 La 3.51-3.64
Pr (0.6815, 0.0155, 0.5644)  2 Pr 3.31-3.63, 1 La 3.53, 1 Tm 3.54, 1 Pm 3.58
Pr (0.5563, 0.7594, 0.1065)  7 Pr 3.48-3.87, 2 Tm 3.52-3.85, 2 Pm 3.70-3.84
Pr (0.3800, 0.5120, 0.2976)  3 Pr 3.31-3.48, 3 Tm 3.38-3.52, 2 La 3.51-3.64
Pr (0.4437, 0.2406, 0.8935)  7 Pr 3.48-3.87, 2 Tm 3.52-3.85, 2 Pm 3.70-3.84
Tm (0.9511, 0.7093, 0.8040)  6 Pr 3.38-3.73, 2 Pm 3.46-3.48, 1 La 3.63
Tm (0.5489, 0.1960, 0.2907)  6 Pr 3.38-3.73, 2 Pm 3.46-3.48, 1 La 3.63
Tm (0.4511, 0.8040, 0.7093)  6 Pr 3.38-3.73, 2 Pm 3.46-3.48, 1 La 3.63
Tm (0.0489, 0.2907, 0.1960)  6 Pr 3.38-3.73, 2 Pm 3.46-3.48, 1 La 3.63
La (0.2500, 0.4055, 0.5945)  6 Pr 3.51-3.64, 2 Tm 3.63
La (0.7500, 0.5945, 0.4055)  6 Pr 3.51-3.64, 2 Tm 3.63
Pm (0.2500, 0.9678, 0.0322)  4 Tm 3.46-3.48, 6 Pr 3.58-3.84
Pm (0.7500, 0.0322, 0.9678)  4 Tm 3.46-3.48, 6 Pr 3.58-3.84

The highest E_form belongs to which entry?
LaPm2PrTm4